[1]
# Sm2ZnSn, optimized geometry, DFT GGA-PBE
data_Sm2ZnSn
_cell_length_a 5.085
_cell_length_b 5.085
_cell_length_c 4.056
_cell_angle_alpha 90.00
_cell_angle_beta 90.00
_cell_angle_gamma 90.00
_symmetry_space_group_name_H-M 'P 4/m m m'
_symmetry_Int_Tables_number 123
_symmetry_space_group_name_Hall '-P 4 2'
loop_
_atom_site_label
_atom_site_fract_x
_atom_site_fract_y
_atom_site_fract_z
Sm1 0.000 0.500 0.000
Zn1 0.000 0.000 0.500
Sn1 0.500 0.500 0.500
# calculated density = 7.675 g/cm³
# total energy = -4.19 eV/atom
# E_form = -512 meV/atom

[2]
# SnHg2Sb2Pb2, optimized geometry, DFT GGA-PBE
data_SnHg2Sb2Pb2
_cell_length_a 3.9980
_cell_length_b 3.9980
_cell_length_c 16.7522
_cell_angle_alpha 90.00
_cell_angle_beta 90.00
_cell_angle_gamma 120.00
_symmetry_space_group_name_H-M 'P -3 m 1'
_symmetry_Int_Tables_number 164
_symmetry_space_group_name_Hall '-P 3 2"'
loop_
_atom_site_label
_atom_site_fract_x
_atom_site_fract_y
_atom_site_fract_z
Sn1 0.0000 0.0000 0.0000
Hg1 0.0000 0.0000 0.1720
Sb1 0.3333 0.6667 0.7017
Pb1 0.3333 0.6667 0.4178
# calculated density = 8.434 g/cm³
# total energy = -2.70 eV/atom

[3]
# Hf2AlAs, optimized geometry, DFT GGA-PBE
data_Hf2AlAs
_cell_length_a 6.720
_cell_length_b 6.720
_cell_length_c 6.720
_cell_angle_alpha 90.00
_cell_angle_beta 90.00
_cell_angle_gamma 90.00
_symmetry_space_group_name_H-M 'F m -3 m'
_symmetry_Int_Tables_number 225
_symmetry_space_group_name_Hall '-F 4 2 3'
loop_
_atom_site_label
_atom_site_fract_x
_atom_site_fract_y
_atom_site_fract_z
Hf1 0.250 0.250 0.250
Al1 0.000 0.000 0.000
As1 0.000 0.000 0.500
# calculated density = 10.042 g/cm³
# offset from the most stable computed form = 249 meV/atom
# total energy = -7.30 eV/atom
# E_form = -227 meV/atom

[4]
# TiNbAlRh2, optimized geometry, DFT GGA-PBE
data_TiNbAlRh2
_cell_length_a 4.674
_cell_length_b 4.674
_cell_length_c 4.863
_cell_angle_alpha 90.00
_cell_angle_beta 90.00
_cell_angle_gamma 90.00
_symmetry_space_group_name_H-M 'P 4/m m m'
_symmetry_Int_Tables_number 123
_symmetry_space_group_name_Hall '-P 4 2'
loop_
_atom_site_label
_atom_site_fract_x
_atom_site_fract_y
_atom_site_fract_z
Ti1 0.000 0.000 0.000
Nb1 0.500 0.500 0.500
Al1 0.500 0.500 0.000
Rh1 0.000 0.500 0.500
# calculated density = 5.838 g/cm³
# total energy = -6.36 eV/atom
# E_form = 922 meV/atom

Which value of total energy does entry 1 give?
-4.19 eV/atom

calculated density of number 3 (Hf2AlAs)?
10.042 g/cm³

calculated density of number 1 (Sm2ZnSn)?
7.675 g/cm³

What did the fourth record say?
# TiNbAlRh2, optimized geometry, DFT GGA-PBE
data_TiNbAlRh2
_cell_length_a 4.674
_cell_length_b 4.674
_cell_length_c 4.863
_cell_angle_alpha 90.00
_cell_angle_beta 90.00
_cell_angle_gamma 90.00
_symmetry_space_group_name_H-M 'P 4/m m m'
_symmetry_Int_Tables_number 123
_symmetry_space_group_name_Hall '-P 4 2'
loop_
_atom_site_label
_atom_site_fract_x
_atom_site_fract_y
_atom_site_fract_z
Ti1 0.000 0.000 0.000
Nb1 0.500 0.500 0.500
Al1 0.500 0.500 0.000
Rh1 0.000 0.500 0.500
# calculated density = 5.838 g/cm³
# total energy = -6.36 eV/atom
# E_form = 922 meV/atom